Material: PaAg2I6
Method: DFT, PBE
State: relaxed

Values from the calculation:
ΔE_f (raw) = -0.614 eV per atom
Space-group type = No. 148

Structure (POSCAR):
```
PaAg2I6
1.0
-4.999 -3.107 -4.942
-6.894 -2.336 2.466
-6.600 4.552 -2.162
I Pa Ag
6 1 2
Direct
0.761 0.083 0.749
0.917 0.593 0.251
0.593 0.239 0.251
0.407 0.761 0.749
0.239 0.917 0.251
0.083 0.407 0.749
0.000 0.000 0.000
0.830 0.830 0.510
0.170 0.170 0.490
```

***

Material: CsZn2B2O6
Method: DFT, PBE
State: relaxed

Values from the calculation:
ΔE_f (raw) = -1.831 eV per atom
Space-group type = No. 2

Structure (POSCAR):
```
CsZn2B2O6
1.0
5.284 0.020 -0.002
2.651 6.854 1.158
-0.012 -2.612 4.469
Zn B O Cs
2 2 6 1
Direct
0.768 0.465 0.823
0.232 0.535 0.177
0.158 0.691 0.789
0.842 0.309 0.211
0.137 0.730 0.551
0.952 0.668 0.928
0.048 0.332 0.072
0.863 0.270 0.449
0.385 0.673 0.931
0.615 0.327 0.069
0.500 0.000 0.500
```

***

Material: SnGeSCl2
Method: DFT, PBE
State: relaxed

Values from the calculation:
ΔE_f (raw) = -0.280 eV per atom
E above lowest polymorph = 0 meV/atom
Space-group type = No. 123

Structure (POSCAR):
```
SnGeSCl2
1.0
-4.404 -1.749 -1.539
-1.047 -1.455 4.649
-2.121 4.515 0.936
Cl Sn Ge S
2 1 1 1
Direct
0.000 0.500 0.000
0.500 0.000 0.000
0.500 0.500 0.500
0.000 0.000 0.000
0.000 0.000 0.500
```

***

Material: SmUSi
Method: DFT, PBE
State: relaxed

Values from the calculation:
ΔE_f (raw) = -0.301 eV per atom
Space-group type = No. 12

Structure (POSCAR):
```
SmUSi
1.0
3.830 0.000 0.000
0.000 4.438 0.310
-1.915 -0.781 8.076
U Sm Si
2 2 2
Direct
0.757 0.195 0.513
0.243 0.805 0.487
0.428 0.247 0.855
0.572 0.753 0.145
0.882 0.735 0.764
0.118 0.265 0.236
```

***

Material: Os3Pt
Method: DFT, PBE
State: relaxed

Values from the calculation:
Space-group type = No. 65

Structure (POSCAR):
```
Os3Pt
1.0
-2.464 -4.074 0.111
4.599 -0.861 0.889
-0.452 0.347 2.675
Os Pt
3 1
Direct
0.500 0.000 0.500
0.000 0.500 0.500
0.000 0.000 0.000
0.500 0.500 0.000
```

***

Material: YAs2SeI
Method: DFT, PBE
State: relaxed

Values from the calculation:
ΔE_f (raw) = 0.486 eV per atom
E above lowest polymorph = 297 meV/atom
Space-group type = No. 123

Structure (POSCAR):
```
YAs2SeI
1.0
5.318 0.000 0.000
0.000 5.318 0.000
0.000 0.000 5.212
I As Se Y
1 2 1 1
Direct
0.000 0.000 0.000
0.500 0.000 0.000
0.000 0.500 0.000
0.000 0.000 0.500
0.500 0.500 0.500
```

***

Material: RbH2
Method: DFT, PBE
State: relaxed

Values from the calculation:
E above lowest polymorph = 252 meV/atom
Space-group type = No. 74

Structure (POSCAR):
```
RbH2
1.0
-3.043 1.111 0.611
-0.656 0.251 -3.727
-0.758 -7.811 1.537
Rb H
2 4
Direct
0.618 0.868 0.235
0.382 0.132 0.765
0.754 0.504 0.508
0.976 0.726 0.951
0.024 0.274 0.049
0.246 0.496 0.492
```

***

Material: Zn
Method: DFT, PBE
State: relaxed

Values from the calculation:
E above lowest polymorph = 29 meV/atom
Space-group type = No. 24

Structure (POSCAR):
```
Zn
1.0
-4.332 0.216 2.335
1.551 -2.961 3.152
3.617 8.229 5.949
Zn
16
Direct
0.316 0.000 0.750
0.250 0.955 0.000
0.297 0.532 0.375
0.797 0.968 0.625
0.184 0.000 0.250
0.816 0.500 0.250
0.797 0.032 0.875
0.703 0.968 0.375
0.250 0.045 0.500
0.203 0.468 0.875
0.703 0.032 0.125
0.684 0.500 0.750
0.203 0.532 0.625
0.297 0.468 0.125
0.750 0.545 0.000
0.750 0.455 0.500
```

***

Material: LiCd6Ag3
Method: DFT, PBE
State: relaxed

Values from the calculation:
E above lowest polymorph = 51 meV/atom
Space-group type = No. 14

Structure (POSCAR):
```
LiCd6Ag3
1.0
-3.728 2.637 -7.319
3.433 -5.143 -3.601
-4.219 -5.189 3.389
Cd Ag Li
12 6 2
Direct
0.765 0.335 0.314
0.860 0.665 0.607
0.829 0.516 0.978
0.265 0.165 0.814
0.360 0.835 0.107
0.640 0.165 0.893
0.140 0.335 0.393
0.671 0.016 0.522
0.171 0.484 0.022
0.329 0.984 0.478
0.235 0.665 0.686
0.735 0.835 0.186
0.000 0.000 0.500
0.918 0.283 0.721
0.500 0.500 0.000
0.418 0.217 0.221
0.582 0.783 0.779
0.082 0.717 0.279
0.500 0.500 0.500
0.000 0.000 0.000
```

***

Material: Ac2LaPuSe4
Method: DFT, PBE
State: relaxed

Values from the calculation:
ΔE_f (raw) = -1.809 eV per atom
Space-group type = No. 10

Structure (POSCAR):
```
Ac2LaPuSe4
1.0
4.337 0.000 0.000
0.000 7.541 0.137
0.000 -2.628 7.097
La Se Ac Pu
1 4 2 1
Direct
0.000 0.000 0.000
0.500 0.251 0.236
0.500 0.749 0.764
0.000 0.261 0.768
0.000 0.739 0.232
0.000 0.500 0.500
0.500 0.000 0.500
0.500 0.500 0.000
```

***

Material: NaCa2Tl5
Method: DFT, PBE
State: relaxed

Values from the calculation:
E above lowest polymorph = 0 meV/atom
Space-group type = No. 107

Structure (POSCAR):
```
NaCa2Tl5
1.0
6.345 0.123 -2.239
-3.134 5.519 -2.242
-0.073 -0.127 6.730
Tl Ca Na
5 2 1
Direct
0.277 0.277 0.000
0.778 0.778 0.499
0.278 0.778 0.000
0.278 0.278 0.501
0.778 0.278 0.000
0.778 0.278 0.500
0.278 0.778 0.500
0.778 0.778 0.000
```

***

Material: PaInIO4
Method: DFT, PBE
State: relaxed

Values from the calculation:
ΔE_f (raw) = -2.127 eV per atom
Space-group type = No. 12

Structure (POSCAR):
```
PaInIO4
1.0
7.218 1.247 -0.321
3.568 6.398 -0.321
1.857 1.316 6.796
O In I Pa
8 2 2 2
Direct
0.541 0.541 0.184
0.677 0.677 0.446
0.538 0.081 0.117
0.323 0.323 0.554
0.459 0.459 0.816
0.081 0.538 0.117
0.462 0.919 0.883
0.919 0.462 0.883
0.380 0.380 0.259
0.620 0.620 0.741
0.033 0.033 0.305
0.967 0.967 0.695
0.700 0.700 0.152
0.300 0.300 0.848
```

***

Taking the records one at a time from the top gives electronic total energy values of -30.029; -66.644; -17.842; -44.669; -38.957; -18.368; -13.336; -19.916; -32.711; -55.885; -19.102; -97.009 eV/cell.